(1)
8
Lattice="6.718 -0.394 -0.562 -3.651 5.653 0.562 -3.651 -1.394 5.507" Properties=species:S:1:pos:R:3 comment="Sr2Ga5Rh | Alexandria | PBE | relaxed" crystal_system=tetragonal volume_a3_per_atom=24.1 final_energy_ev_per_atom=-3.64 n_ef_per_ev_cell=5.3 pbc="T T T"
Ga 1.832 0.879 1.253
Ga -3.514 3.626 1.815
Ga -2.142 2.826 4.027
Ga -2.154 1.257 1.791
Ga -3.514 0.473 4.027
Sr -0.102 3.583 1.359
Sr -0.102 0.059 3.832
Rh -0.395 0.230 0.328

---

(2)
17
Lattice="7.963 0.000 0.000 -2.654 7.508 0.000 -2.654 -3.754 6.502" Properties=species:S:1:pos:R:3 comment="SrGa12Rh4 | Alexandria | PBE | relaxed" crystal_system=cubic volume_a3_per_atom=22.9 final_energy_ev_per_atom=-4.23 n_ef_per_ev_cell=8.0 pbc="T T T"
Rh 1.327 1.877 3.251
Rh 3.982 0.000 0.000
Rh -1.327 3.754 0.000
Rh -1.327 -1.877 3.251
Sr 0.000 0.000 0.000
Ga 2.087 0.369 5.010
Ga 2.306 5.845 1.492
Ga -2.087 4.523 2.186
Ga -0.348 3.294 4.316
Ga -0.567 0.401 3.678
Ga 4.960 2.123 0.694
Ga 3.003 0.460 2.186
Ga 4.742 -0.769 4.316
Ga 0.567 3.385 1.492
Ga -2.306 1.631 5.808
Ga 3.221 3.353 2.824
Ga 0.348 -2.091 5.010

---

(3)
30
Lattice="-0.440 5.034 -3.499 -0.079 -3.512 -5.043 -16.196 -0.836 0.835" Properties=species:S:1:pos:R:3 comment="Sr2Ga12Rh | Alexandria | PBE | relaxed" crystal_system=tetragonal volume_a3_per_atom=20.4 final_energy_ev_per_atom=-3.51 n_ef_per_ev_cell=9.3 pbc="T T T"
Ga -9.400 -1.940 -3.694
Ga -9.639 2.506 -3.893
Ga -7.045 -0.463 -1.866
Ga -15.214 0.377 -5.642
Ga -9.629 0.177 -6.017
Ga -7.134 -1.647 -4.785
Ga -3.232 0.607 -4.118
Ga -5.512 -0.285 0.284
Ga -1.501 0.311 -2.065
Ga -2.972 -0.153 0.153
Ga -1.760 1.069 -6.336
Ga -7.346 1.269 -5.961
Ga -1.540 -1.447 -4.585
Ga -13.483 0.078 -3.589
Ga -9.410 0.388 -1.570
Ga -15.174 2.132 -3.119
Ga -10.684 -0.552 0.551
Ga -1.721 2.827 -3.815
Ga -7.256 2.453 -3.042
Ga -5.771 0.476 -3.987
Ga -10.943 0.209 -3.720
Ga -13.224 -0.683 0.682
Ga -14.954 -0.386 -1.371
Ga -14.994 -2.141 -3.894
Rh -0.220 2.517 -1.749
Rh -0.039 -1.756 -2.522
Sr -4.251 2.309 -1.542
Sr -12.205 -2.384 -1.894
Sr -4.070 -1.964 -2.314
Sr -12.385 1.889 -1.122

---

(4)
32
Lattice="6.148 0.000 0.000 0.000 8.339 0.000 0.000 0.000 15.386" Properties=species:S:1:pos:R:3 comment="Sr3Ga3Rh2 | Alexandria | PBE | relaxed" crystal_system=orthorhombic volume_a3_per_atom=24.6 final_energy_ev_per_atom=-4.16 n_ef_per_ev_cell=17.8 pbc="T T T"
Rh 3.736 5.146 1.448
Rh 0.662 7.363 13.938
Rh 2.411 3.193 9.141
Rh 5.485 0.976 6.245
Rh 2.411 3.193 13.938
Rh 0.662 7.363 9.141
Rh 3.736 5.146 6.245
Rh 5.485 0.976 1.448
Ga 0.760 1.429 8.307
Ga 2.642 5.427 3.847
Ga 3.834 2.740 0.614
Ga 3.834 2.740 7.079
Ga 5.388 6.910 0.614
Ga 3.506 2.911 11.540
Ga 0.432 1.258 3.847
Ga 5.716 7.081 11.540
Ga 2.314 5.599 14.772
Ga 5.388 6.910 7.079
Ga 2.314 5.599 8.307
Ga 0.760 1.429 14.772
Sr 2.387 5.824 11.540
Sr 2.355 7.964 6.034
Sr 5.461 6.684 3.847
Sr 2.355 7.964 1.659
Sr 0.719 3.794 6.034
Sr 5.429 4.544 13.727
Sr 3.792 0.375 13.727
Sr 0.719 3.794 1.659
Sr 3.761 2.515 3.847
Sr 5.429 4.544 9.352
Sr 3.792 0.375 9.352
Sr 0.687 1.655 11.540

---

(5)
19
Lattice="-1.063 -4.862 -5.227 7.140 0.066 1.051 -2.724 -3.044 5.950" Properties=species:S:1:pos:R:3 comment="SrGa12Rh6 | Alexandria | PBE | relaxed" crystal_system=trigonal volume_a3_per_atom=17.3 final_energy_ev_per_atom=-4.87 n_ef_per_ev_cell=5.1 pbc="T T T"
Rh 3.889 -2.117 0.922
Rh 2.878 -3.672 3.464
Rh 0.475 -4.168 -1.690
Rh -0.535 -5.723 0.851
Rh -0.216 -3.411 2.961
Rh 3.570 -4.429 -1.187
Ga 2.315 -4.618 -3.403
Ga 1.676 -1.865 2.190
Ga -1.472 -5.812 -1.523
Ga 1.039 -3.222 5.177
Ga 2.141 -2.373 -0.934
Ga -2.110 -5.114 2.768
Ga 1.213 -5.467 2.708
Ga 4.825 -2.028 3.297
Ga 5.463 -2.726 -0.994
Ga 1.677 -5.975 -0.417
Ga 3.970 -4.598 1.338
Ga -0.617 -3.243 0.436
Sr 0.000 0.000 0.000

---

(6)
10
Lattice="7.658 0.000 0.000 0.000 7.658 0.000 0.000 0.000 2.989" Properties=species:S:1:pos:R:3 comment="SrGa2Rh2 | Alexandria | PBE | relaxed" crystal_system=tetragonal volume_a3_per_atom=17.5 final_energy_ev_per_atom=-5.00 n_ef_per_ev_cell=3.2 pbc="T T T"
Rh 1.118 2.711 0.000
Rh 6.540 4.947 0.000
Rh 2.711 6.540 0.000
Rh 4.947 1.118 0.000
Ga 2.737 1.092 1.494
Ga 6.566 2.737 1.494
Ga 4.921 6.566 1.494
Ga 1.092 4.921 1.494
Sr 0.000 0.000 0.000
Sr 3.829 3.829 0.000

---

(7)
10
Lattice="-5.993 4.255 -2.203 0.182 -3.322 -6.914 -1.853 -2.110 0.965" Properties=species:S:1:pos:R:3 comment="SrGa2Rh2 | Alexandria | PBE | relaxed" crystal_system=tetragonal volume_a3_per_atom=17.5 final_energy_ev_per_atom=-5.00 n_ef_per_ev_cell=3.6 pbc="T T T"
Rh -2.877 -0.211 -1.417
Rh -1.820 -2.558 -4.518
Rh -4.787 -0.966 -6.734
Rh -5.844 1.381 -3.633
Sr -2.905 0.466 -4.558
Sr 0.000 0.000 0.000
Ga -5.142 1.662 -6.239
Ga -3.711 2.242 -2.222
Ga -0.668 -0.729 -2.877
Ga -2.100 -1.309 -6.894

---

(8)
6
Lattice="4.472 0.000 0.000 0.000 4.395 0.000 0.000 0.000 7.656" Properties=species:S:1:pos:R:3 comment="Sr2Ga3Rh | Alexandria | PBE | relaxed" crystal_system=orthorhombic volume_a3_per_atom=25.1 final_energy_ev_per_atom=-3.80 n_ef_per_ev_cell=3.7 pbc="T T T"
Rh 2.236 2.197 2.520
Sr 0.000 0.000 3.751
Sr 0.000 2.197 0.124
Ga 2.236 2.197 5.034
Ga 2.236 0.000 1.353
Ga 2.236 0.000 6.357

---

Values of calculated formation energy, in order: -0.410, -0.260, -0.373, -0.555, -0.553, -0.515, -0.509, -0.497, all in eV/atom.